The following is a PBE calculation of Tb2Tm5Pb4 after structural relaxation, from Alexandria.

a = 3.5504 Å, b = 8.3287 Å, c = 13.1767 Å
α = 121.15°, β = 97.74°, γ = 90.00°
Closest atoms and distances in Å follow each position.
Element x y z (fractional)
Pb 0.0517 0.7929 0.1034  3 Tm 3.06-3.22, 4 Tb 3.37-3.41
Pb 0.7216 0.6593 0.4432  6 Tm 3.11-3.27, 1 Tb 3.30
Pb 0.2784 0.3407 0.5568  6 Tm 3.11-3.27, 1 Tb 3.30
Pb 0.9483 0.2071 0.8966  3 Tm 3.06-3.22, 4 Tb 3.37-3.41
Tm 0.5000 0.0000 0.0000  4 Pb 3.22, 2 Tb 3.52, 2 Tm 3.55
Tm 0.1443 0.2771 0.2885  4 Pb 3.26-3.45, 2 Tm 3.55, 2 Tb 3.61
Tm 0.1840 0.9119 0.3680  4 Pb 3.06-3.27
Tm 0.8160 0.0881 0.6320  4 Pb 3.06-3.27
Tm 0.8557 0.7229 0.7115  4 Pb 3.26-3.45, 2 Tm 3.55, 2 Tb 3.61
Tb 0.5759 0.4947 0.1518  5 Pb 3.30-3.41, 5 Tm 3.52-3.61, 2 Tb 3.55
Tb 0.4241 0.5053 0.8482  5 Pb 3.30-3.41, 5 Tm 3.52-3.61, 2 Tb 3.55

Computed properties:
* total DFT energy (no corrections): -4.47 eV/atom
* formation enthalpy at 0 K: -0.243 eV/atom
* theoretical density: 10.0 g cm⁻³